1.
This record from Alexandria via LeMat-Bulk describes crystalline PaGa2CuO8 at its relaxed geometry. The functional is PBE.

POSCAR file:
```
PaGa2CuO8
1.0
5.8246 0.4984 0.0000
-2.1366 5.4414 0.0000
-1.8440 -2.9699 4.6855
Pa Ga Cu O
1 2 1 8
direct
0.2500 0.7500 0.5000 Pa
0.7500 0.2500 0.5000 Ga
0.5000 0.5000 0.0000 Ga
0.0000 0.0000 0.0000 Cu
0.3545 0.0519 0.3025 O
0.3160 0.5090 0.1930 O
0.3160 0.1230 0.8070 O
0.7494 0.0519 0.6975 O
0.8770 0.6840 0.1930 O
0.9481 0.2506 0.3025 O
0.9481 0.6455 0.6975 O
0.4910 0.6840 0.8070 O
```

Its total magnetization is 2.1 μB/f.u. Its calculated volume is 12.79 Å³ per atom. As for the formation energy from raw total energies: -1.49 eV/atom. Its space group is I-4m2 (119). The value obtained for the total energy is -6.429 eV/atom.

2.
This record from Alexandria via LeMat-Bulk describes crystalline PaGa3Cu4O12 at its relaxed geometry. The functional is PBE.

POSCAR file:
```
PaGa3Cu4O12
1.0
6.4343 0.0000 0.0000
-2.1448 6.0663 0.0000
-2.1448 -3.0332 5.2536
Pa Ga Cu O
1 3 4 12
direct
0.0000 0.0000 0.0000 Pa
0.0000 0.5000 0.5000 Ga
0.5000 0.5000 0.0000 Ga
0.5000 0.0000 0.5000 Ga
0.5000 0.0000 0.0000 Cu
0.5000 0.5000 0.5000 Cu
0.0000 0.5000 0.0000 Cu
0.0000 0.0000 0.5000 Cu
0.3008 0.8299 0.1308 O
0.6992 0.1701 0.8692 O
0.6992 0.8299 0.5291 O
0.8692 0.6992 0.1701 O
0.8299 0.1308 0.3008 O
0.1701 0.4709 0.3008 O
0.4709 0.3008 0.1701 O
0.1701 0.8692 0.6992 O
0.3008 0.1701 0.4709 O
0.1308 0.3008 0.8299 O
0.8299 0.5291 0.6992 O
0.5291 0.6992 0.8299 O
```

Its total magnetization is 0.0 μB/f.u. Its calculated volume is 10.25 Å³ per atom. As for the formation energy from raw total energies: -1.31 eV/atom. Its space group is Im-3 (204). The value obtained for the total energy is -6.037 eV/atom.

3.
This record from Alexandria via LeMat-Bulk describes crystalline GaCuPb2O5 at its relaxed geometry. The functional is PBE.

POSCAR file:
```
GaCuPb2O5
1.0
-0.1626 -0.0425 -3.1827
-0.4404 -7.5638 1.7193
-10.3817 0.7227 0.5206
Ga Cu Pb O
2 2 4 10
direct
0.5468 0.0935 0.9511 Ga
0.4532 0.9065 0.4511 Ga
0.7969 0.5939 0.5235 Cu
0.2031 0.4061 0.0235 Cu
0.8716 0.7431 0.8060 Pb
0.1181 0.2361 0.6566 Pb
0.1284 0.2569 0.3060 Pb
0.8819 0.7639 0.1566 Pb
0.3516 0.7031 0.9978 O
0.6703 0.3406 0.9143 O
0.4890 0.9780 0.7931 O
0.2903 0.5805 0.6422 O
0.9758 0.9515 0.5395 O
0.6484 0.2969 0.4978 O
0.3297 0.6594 0.4143 O
0.5110 0.0220 0.2931 O
0.7097 0.4195 0.1422 O
0.0242 0.0485 0.0395 O
```

Its total magnetization is 0.0 μB/f.u. Its calculated volume is 14.03 Å³ per atom. As for the formation energy from raw total energies: -1.02 eV/atom. Its space group is Cmc2_1 (36). The value obtained for the total energy is -5.392 eV/atom.

4.
This record from Alexandria via LeMat-Bulk describes crystalline GaCu2Pb3O6 at its relaxed geometry. The functional is PBE.

POSCAR file:
```
GaCu2Pb3O6
1.0
5.8273 0.0000 0.0000
-2.9136 5.0466 0.0000
0.0000 0.0000 6.0166
Ga Cu Pb O
1 2 3 6
direct
0.0000 0.0000 0.5000 Ga
0.6667 0.3333 0.8576 Cu
0.3333 0.6667 0.1424 Cu
0.3333 0.6667 0.6263 Pb
0.6667 0.3333 0.3737 Pb
0.0000 0.0000 0.0000 Pb
0.6683 0.8342 0.3133 O
0.1658 0.3317 0.3133 O
0.1658 0.8342 0.3133 O
0.8342 0.6683 0.6867 O
0.3317 0.1658 0.6867 O
0.8342 0.1658 0.6867 O
```

Its total magnetization is 0.8 μB/f.u. Its calculated volume is 14.74 Å³ per atom. As for the formation energy from raw total energies: -0.76 eV/atom. Its space group is P-3m1 (164). The value obtained for the total energy is -5.102 eV/atom.